1.
Computed, not measured: a geometry-optimized LiSnS2 structure at the GGA-PBEsol level of DFT.

The space group is R-3m (No. 166, hexagonal axes) and the conventional cell measures 3.7532, 3.7532 and 18.5451 Å, with angles of 90.00, 90.00 and 120.00 degrees. The distinct sites, in fractional coordinates, are Li at (0.0000, 0.0000, 0.0000), Sn at (0.0000, 0.0000, 0.5000) and S at (0.0000, 0.0000, 0.2536).

Its theoretical density is 4.18 g/cm³. As for the raw total energy: -54.14 eV/cell. The formation energy from raw total energies is -0.763 eV per atom. The size of the total moment is 0.0 μB per formula unit.



2.
Computed, not measured: a geometry-optimized Te2OsAu structure at the GGA-PBEsol level of DFT.

The space group is Pm (No. 6) and the conventional cell measures 4.090, 4.170 and 5.999 Å, with angles of 90.00, 90.08 and 90.00 degrees. The distinct sites, in fractional coordinates, are Te at (0.000, 0.000, 0.000), Te at (0.499, 0.500, 0.499), Os at (0.999, 0.500, 0.761) and Au at (0.998, 0.000, 0.450).

Its theoretical density is 10.42 g/cm³. As for the raw total energy: -21.69 eV/cell. The formation energy from raw total energies is 0.375 eV per atom. The offset from the most stable computed form is 0 meV/atom. The size of the total moment is 0.0 μB per formula unit.



3.
Computed, not measured: a geometry-optimized Pb2Au structure at the GGA-PBEsol level of DFT.

The space group is Cmcm (No. 63) and the conventional cell measures 3.485, 16.128 and 5.367 Å, with angles of 90.00, 90.00 and 90.00 degrees. The distinct sites, in fractional coordinates, are Pb at (0.000, 0.081, 0.250), Pb at (0.000, 0.216, 0.750) and Au at (0.000, 0.435, 0.250).

Its theoretical density is 13.46 g/cm³. As for the raw total energy: -47.80 eV/cell. The value obtained for the formation energy is -0.01 eV/atom. The size of the total moment is 0.0 μB per formula unit.



4.
Computed, not measured: a geometry-optimized Mg3Sc structure at the GGA-PBEsol level of DFT.

The space group is P6_3/mmc (No. 194) and the conventional cell measures 6.3940, 6.3940 and 5.0603 Å, with angles of 90.00, 90.00 and 120.00 degrees. The distinct sites, in fractional coordinates, are Mg at (0.1669, 0.3338, 0.2500) and Sc at (0.3333, 0.6667, 0.7500).

Its theoretical density is 2.18 g/cm³. As for the raw total energy: -23.78 eV/cell. The value obtained for the formation energy is -0.03 eV/atom. The size of the total moment is 0.0 μB per formula unit.



5.
Computed, not measured: a geometry-optimized HgIr3Pb structure at the GGA-PBEsol level of DFT.

The space group is Pm-3m (No. 221) and the conventional cell measures 4.886, 4.886 and 4.886 Å, with angles of 90.00, 90.00 and 90.00 degrees. The distinct sites, in fractional coordinates, are Hg at (0.000, 0.000, 0.000), Ir at (0.000, 0.000, 0.500) and Pb at (0.500, 0.500, 0.500).

Its theoretical density is 14.02 g/cm³. As for the raw total energy: -23.05 eV/cell. The value obtained for the formation energy is 2.20 eV/atom. The offset from the most stable computed form is 0 meV/atom. The size of the total moment is 0.0 μB per formula unit.



6.
Computed, not measured: a geometry-optimized V2AsC structure at the GGA-PBEsol level of DFT.

The space group is P6_3/mmc (No. 194) and the conventional cell measures 3.0728, 3.0728 and 11.2984 Å, with angles of 90.00, 90.00 and 120.00 degrees. The distinct sites, in fractional coordinates, are V at (0.3333, 0.6667, 0.0914), As at (0.3333, 0.6667, 0.7500) and C at (0.0000, 0.0000, 0.0000).

Its theoretical density is 6.79 g/cm³. As for the raw total energy: -73.02 eV/cell. The value obtained for the formation energy is -0.62 eV/atom. The size of the total moment is 0.0 μB per formula unit.



7.
Computed, not measured: a geometry-optimized Ag5Pb4 structure at the GGA-PBEsol level of DFT.

The space group is I4/mmm (No. 139) and the conventional cell measures 9.455, 9.455 and 4.422 Å, with angles of 90.00, 90.00 and 90.00 degrees. The distinct sites, in fractional coordinates, are Ag at (0.000, 0.000, 0.000), Ag at (0.156, 0.156, 0.500) and Pb at (0.000, 0.310, 0.000).

Its theoretical density is 11.49 g/cm³. As for the raw total energy: -63.08 eV/cell. The value obtained for the formation energy is 0.11 eV/atom. The size of the total moment is 0.0 μB per formula unit.



8.
Computed, not measured: a geometry-optimized TbFe2B2 structure at the GGA-PBEsol level of DFT.

The space group is I4/mmm (No. 139) and the conventional cell measures 3.570, 3.570 and 9.288 Å, with angles of 90.00, 90.00 and 90.00 degrees. The distinct sites, in fractional coordinates, are Tb at (0.000, 0.000, 0.000), Fe at (0.000, 0.500, 0.250) and B at (0.000, 0.000, 0.342).

Its theoretical density is 8.20 g/cm³. As for the raw total energy: -78.84 eV/cell. The value obtained for the formation energy is -0.49 eV/atom. The size of the total moment is 1.1 μB per formula unit.